The following is a PBE calculation of an optimized crystal structure of Ho3BeO, from the Alexandria database.

Total energy = -0.4066 Ry/atom
Density of states at the Fermi level = 0.53 states/eV per atom
ΔE_f (raw) = -1.049 eV/atom
Total moment = 0.0 μB/cell

a b c (Å): 4.6503 4.6503 4.6503
angles (deg): 90.00 90.00 90.00
With the nearest neighbours (Å) after each atom.
Space group Pm-3m (No. 221)
Unique sites:
1 Ho 0.0000 0.0000 0.5000  2 O 2.33
2 Be 0.5000 0.5000 0.5000  12 Ho 3.29
3 O 0.0000 0.0000 0.0000  6 Ho 2.33